Below is crystalline SrYNb2Sb at its relaxed geometry, with properties calculated at the PBE level.

The calculated density is 5.61 g/cm³. The final energy comes out at -4.830 eV/atom. The total magnetization comes out at 0.014 μB/atom. As for the space group: P4/mmm, No. 123.

Cell: 4.9843 4.9843 5.7656 Å, 90.00 90.00 90.00°
Fractional coordinates of all 5 atoms:
Sr  0.0000  0.0000  0.0000
Y  0.5000  0.5000  0.5000
Nb  0.0000  0.5000  0.0000
Nb  0.5000  0.0000  0.0000
Sb  0.0000  0.0000  0.5000



Below is crystalline Ta3NbSb at its relaxed geometry, with properties calculated at the PBE level.

The excess energy over the best structure of this formula in the dataset comes out at 181.7 kJ/mol of formula units. The calculated density is 10.39 g/cm³. The total magnetization comes out at 0.000 μB/atom. As for the space group: Pm-3m, No. 221.

Cell: 4.9464 4.9464 4.9464 Å, 90.00 90.00 90.00°
Fractional coordinates of all 5 atoms:
Ta  0.0000  0.0000  0.5000
Ta  0.0000  0.5000  0.0000
Ta  0.5000  0.0000  0.0000
Nb  0.5000  0.5000  0.5000
Sb  0.0000  0.0000  0.0000



Below is crystalline Ta8Nb2Sb at its relaxed geometry, with properties calculated at the PBE level.

The calculated density is 13.73 g/cm³. The final energy comes out at -10.620 eV/atom. The total magnetization comes out at 0.000 μB/atom. As for the space group: P2/m, No. 10.

Cell: 6.7398 4.5896 7.0180 Å, 90.00 102.10 90.00°
Fractional coordinates of all 11 atoms:
Ta  0.0787  0.0000  0.3230
Ta  0.1788  0.5000  0.6616
Ta  0.2804  0.0000  0.9996
Ta  0.3494  0.5000  0.3089
Ta  0.6506  0.5000  0.6911
Ta  0.7196  0.0000  0.0004
Ta  0.8212  0.5000  0.3384
Ta  0.9213  0.0000  0.6770
Nb  0.4081  0.0000  0.6537
Nb  0.5919  0.0000  0.3463
Sb  0.0000  0.5000  0.0000



Below is crystalline TaNbSb at its relaxed geometry, with properties calculated at the PBE level.

The calculated density is 8.83 g/cm³. The final energy comes out at -8.406 eV/atom. The total magnetization comes out at 0.000 μB/atom. As for the space group: C2/m, No. 12.

Cell: 5.4492 5.4492 9.9352 Å, 98.74 98.74 30.72°
Fractional coordinates of all 6 atoms:
Ta  0.0373  0.0373  0.3673
Ta  0.9627  0.9627  0.6327
Nb  0.3056  0.3056  0.3788
Nb  0.6944  0.6944  0.6212
Sb  0.3560  0.3560  0.8541
Sb  0.6440  0.6440  0.1459



Below is crystalline TaNb3Sb at its relaxed geometry, with properties calculated at the PBE level.

The excess energy over the best structure of this formula in the dataset comes out at 526.8 kJ/mol of formula units. The calculated density is 8.12 g/cm³. The total magnetization comes out at 0.000 μB/atom. As for the space group: Pm-3m, No. 221.

Cell: 4.9167 4.9167 4.9167 Å, 90.00 90.00 90.00°
Fractional coordinates of all 5 atoms:
Ta  0.0000  0.0000  0.0000
Nb  0.0000  0.0000  0.5000
Nb  0.0000  0.5000  0.0000
Nb  0.5000  0.0000  0.0000
Sb  0.5000  0.5000  0.5000



Below is crystalline TaNb3Sb at its relaxed geometry, with properties calculated at the PBE level.

The excess energy over the best structure of this formula in the dataset comes out at 711.7 kJ/mol of formula units. The calculated density is 7.97 g/cm³. The total magnetization comes out at 0.000 μB/atom. As for the space group: Pm-3m, No. 221.

Cell: 4.9484 4.9484 4.9484 Å, 90.00 90.00 90.00°
Fractional coordinates of all 5 atoms:
Ta  0.0000  0.0000  0.0000
Nb  0.0000  0.5000  0.5000
Nb  0.5000  0.0000  0.5000
Nb  0.5000  0.5000  0.0000
Sb  0.5000  0.5000  0.5000



Below is crystalline TaNbSb at its relaxed geometry, with properties calculated at the PBE level.

The calculated density is 10.88 g/cm³. The final energy comes out at -8.453 eV/atom. The total magnetization comes out at 0.000 μB/atom. As for the space group: C2/m, No. 12.

Cell: 7.9892 7.9892 5.3599 Å, 101.42 101.42 21.11°
Fractional coordinates of all 6 atoms:
Ta  0.0025  0.0025  0.2474
Ta  0.9975  0.9975  0.7526
Nb  0.3402  0.3402  0.9061
Nb  0.6598  0.6598  0.0939
Sb  0.1649  0.1649  0.6100
Sb  0.8351  0.8351  0.3900



Below is crystalline TaNb3Sb at its relaxed geometry, with properties calculated at the PBE level.

The excess energy over the best structure of this formula in the dataset comes out at 0.0 kJ/mol of formula units. The calculated density is 9.99 g/cm³. The total magnetization comes out at 0.000 μB/atom. As for the space group: C2/c, No. 15.

Cell: 7.3299 7.3299 5.7646 Å, 94.69 94.69 140.00°
Fractional coordinates of all 10 atoms:
Ta  0.1989  0.8011  0.7500
Ta  0.8011  0.1989  0.2500
Nb  0.1955  0.8045  0.2500
Nb  0.3922  0.6074  0.9998
Nb  0.3926  0.6078  0.5002
Nb  0.6074  0.3922  0.4998
Nb  0.6078  0.3926  0.0002
Nb  0.8045  0.1955  0.7500
Sb  0.0000  0.0000  0.0000
Sb  0.0000  0.0000  0.5000